1.
First-principles (SCAN) data for a PBEsol-optimized structure of TlHg2, as listed in the Alexandria database.

## Properties
N(E_F), states/eV per cell: 3.71
Excess energy over the best structure of this formula in the dataset, kcal/mol of atoms: 0.13
Energy relative to the elements, eV/atom: -0.02

Unit cell a=13.542 b=3.378 c=6.850 alpha=90.00 beta=104.42 gamma=90.00
Space group C2/m (No. 12)
Unique sites:
1 Tl 0.156 0.000 0.085 [4 per cell]
2 Hg 0.002 0.500 0.728 [4 per cell]
3 Hg 0.169 0.000 0.584 [4 per cell]

=====

2.
First-principles (SCAN) data for a PBEsol-optimized structure of TlHg2, as listed in the Alexandria database.

## Properties
N(E_F), states/eV per cell: 2.39
Excess energy over the best structure of this formula in the dataset, kcal/mol of atoms: 0.38
Energy relative to the elements, eV/atom: -0.01

Unit cell a=5.3916 b=5.3916 c=6.1149 alpha=90.00 beta=90.00 gamma=120.00
Space group P6_3/mmc (No. 194)
Unique sites:
1 Tl 0.3333 0.6667 0.2500 [2 per cell]
2 Hg 0.0000 0.0000 0.0000 [2 per cell]
3 Hg 0.3333 0.6667 0.7500 [2 per cell]

=====

3.
First-principles (SCAN) data for a PBEsol-optimized structure of TlHg2, as listed in the Alexandria database.

## Properties
N(E_F), states/eV per cell: 1.15
Excess energy over the best structure of this formula in the dataset, kcal/mol of atoms: 1.76
Energy relative to the elements, eV/atom: 0.05

Unit cell a=4.266 b=4.266 c=4.709 alpha=90.00 beta=90.00 gamma=90.00
Space group P4/mmm (No. 123)
Unique sites:
1 Tl 0.000 0.000 0.000 [1 per cell]
2 Hg 0.000 0.500 0.500 [2 per cell]

=====

4.
First-principles (SCAN) data for a PBEsol-optimized structure of TlHg2, as listed in the Alexandria database.

## Properties
N(E_F), states/eV per cell: 3.23
Excess energy over the best structure of this formula in the dataset, kcal/mol of atoms: 0.64
Energy relative to the elements, eV/atom: 0.01

Unit cell a=9.0226 b=9.0226 c=3.2574 alpha=90.00 beta=90.00 gamma=120.00
Space group P-62m (No. 189)
Unique sites:
1 Tl 0.0000 0.0000 0.0000 [1 per cell]
2 Tl 0.3333 0.6667 0.5000 [2 per cell]
3 Hg 0.0000 0.3121 0.5000 [3 per cell]
4 Hg 0.0000 0.6448 0.0000 [3 per cell]

=====

5.
First-principles (SCAN) data for a PBEsol-optimized structure of Tl3Hg5, as listed in the Alexandria database.

## Properties
N(E_F), states/eV per cell: 10.15
Energy relative to the elements, eV/atom: 0.01

Unit cell a=11.836 b=11.836 c=5.953 alpha=90.00 beta=90.00 gamma=90.00
Space group I4/mcm (No. 140)
Unique sites:
1 Tl 0.000 0.000 0.250 [4 per cell]
2 Tl 0.184 0.316 0.000 [8 per cell]
3 Hg 0.000 0.500 0.250 [4 per cell]
4 Hg 0.062 0.245 0.500 [16 per cell]

=====

6.
First-principles (SCAN) data for a PBEsol-optimized structure of TlHg2, as listed in the Alexandria database.

## Properties
N(E_F), states/eV per cell: 1.71
Excess energy over the best structure of this formula in the dataset, kcal/mol of atoms: 0.00
Energy relative to the elements, eV/atom: -0.02

Unit cell a=3.455 b=3.455 c=12.677 alpha=90.00 beta=90.00 gamma=90.00
Space group I4/mmm (No. 139)
Unique sites:
1 Tl 0.000 0.000 0.000 [2 per cell]
2 Hg 0.000 0.000 0.326 [4 per cell]

=====

7.
First-principles (SCAN) data for a PBEsol-optimized structure of TlHg2, as listed in the Alexandria database.

## Properties
N(E_F), states/eV per cell: 1.95
Excess energy over the best structure of this formula in the dataset, kcal/mol of atoms: 0.07
Energy relative to the elements, eV/atom: -0.02

Unit cell a=3.353 b=4.470 c=10.098 alpha=90.00 beta=90.00 gamma=90.00
Space group Immm (No. 71)
Unique sites:
1 Tl 0.000 0.000 0.000 [2 per cell]
2 Hg 0.000 0.000 0.328 [4 per cell]

=====

8.
First-principles (SCAN) data for a PBEsol-optimized structure of TlHg2, as listed in the Alexandria database.

## Properties
N(E_F), states/eV per cell: 1.11
Excess energy over the best structure of this formula in the dataset, kcal/mol of atoms: 0.25
Energy relative to the elements, eV/atom: -0.01

Unit cell a=3.3628 b=3.3628 c=7.7610 alpha=90.00 beta=90.00 gamma=120.00
Space group P-3m1 (No. 164)
Unique sites:
1 Tl 0.0000 0.0000 0.0000 [1 per cell]
2 Hg 0.3333 0.6667 0.3438 [2 per cell]

=====

9.
First-principles (SCAN) data for a PBEsol-optimized structure of Tl3Hg4, as listed in the Alexandria database.

## Properties
N(E_F), states/eV per cell: 2.46
Energy relative to the elements, eV/atom: 0.06

Unit cell a=6.3015 b=6.3015 c=5.5651 alpha=90.00 beta=90.00 gamma=120.00
Space group P6/mmm (No. 191)
Unique sites:
1 Tl 0.0000 0.5000 0.0000 [3 per cell]
2 Hg 0.0000 0.0000 0.2548 [2 per cell]
3 Hg 0.3333 0.6667 0.5000 [2 per cell]

=====

10.
First-principles (SCAN) data for a PBEsol-optimized structure of TlHg2, as listed in the Alexandria database.

## Properties
N(E_F), states/eV per cell: 3.73
Excess energy over the best structure of this formula in the dataset, kcal/mol of atoms: 0.12
Energy relative to the elements, eV/atom: -0.02

Unit cell a=6.561 b=4.698 c=9.795 alpha=90.00 beta=90.00 gamma=90.00
Space group Pnma (No. 62)
Unique sites:
1 Tl 0.132 0.250 0.091 [4 per cell]
2 Hg 0.117 0.250 0.747 [4 per cell]
3 Hg 0.127 0.250 0.421 [4 per cell]

=====

11.
First-principles (SCAN) data for a PBEsol-optimized structure of TlHg2, as listed in the Alexandria database.

## Properties
N(E_F), states/eV per cell: 4.33
Excess energy over the best structure of this formula in the dataset, kcal/mol of atoms: 0.47
Energy relative to the elements, eV/atom: 0.00

Unit cell a=12.538 b=3.293 c=7.588 alpha=90.00 beta=105.09 gamma=90.00
Space group Cm (No. 8)
Unique sites:
1 Tl 0.000 0.000 0.000 [2 per cell]
2 Tl 0.179 0.500 0.344 [2 per cell]
3 Hg 0.122 0.500 0.728 [2 per cell]
4 Hg 0.281 0.000 0.052 [2 per cell]
5 Hg 0.343 0.000 0.669 [2 per cell]
6 Hg 0.452 0.500 0.402 [2 per cell]

=====

12.
First-principles (SCAN) data for a PBEsol-optimized structure of TlHgW, as listed in the Alexandria database.

## Properties
N(E_F), states/eV per cell: 1.31
Energy relative to the elements, eV/atom: 0.92

Unit cell a=3.0229 b=3.0229 c=7.4782 alpha=90.00 beta=90.00 gamma=120.00
Space group P3m1 (No. 156)
Unique sites:
1 Tl 0.0000 0.0000 0.0000 [1 per cell]
2 Hg 0.6667 0.3333 0.3623 [1 per cell]
3 W 0.3333 0.6667 0.6733 [1 per cell]